Material: PaSiBi
Method: DFT, PBE-GGA
State: optimized geometry

## Properties
total energy = -6.137 eV per atom

Lattice parameters (Å, degrees): 4.833 4.833 4.833 60.00 60.00 60.00
Fractional coordinates of all 3 atoms:
Pa1 0.000 0.000 0.000
Si1 0.750 0.750 0.750
Bi1 0.500 0.500 0.500